Ho4Mg3In after structural relaxation, computed with PBE.

Geometry as POSCAR:
```
Ho4Mg3In
1.0
-3.515 3.983 0.205
-2.808 1.292 -4.325
-8.328 -3.854 0.989
Mg Ho In
3 4 1
Direct
0.247 0.247 0.258 Mg
0.500 0.500 0.500 Mg
0.753 0.753 0.742 Mg
0.375 0.375 0.875 Ho
0.875 0.875 0.374 Ho
0.125 0.125 0.626 Ho
0.625 0.625 0.125 Ho
0.000 0.000 0.000 In
```

Results
Polymorph energy (0 for the lowest one), eV/atom: 0.000
Final energy, eV/atom: -3.4226
SG: R-3m, No. 166
Density of states at the Fermi level, states/eV per cell: 8.980
Crystal system: trigonal
Total magnetic moment, μB/f.u.: 0.000


LaSmPdAu after structural relaxation, computed with PBE.

Geometry as POSCAR:
```
LaSmPdAu
1.0
-1.935 2.197 -2.613
-3.718 0.354 3.051
3.172 3.415 3.469
Au La Pd Sm
1 1 1 1
Direct
0.584 0.500 0.168 Au
0.139 0.000 0.277 La
0.413 0.000 0.826 Pd
0.865 0.500 0.729 Sm
```

Results
Polymorph energy (0 for the lowest one), eV/atom: 0.000
Final energy, eV/atom: -5.3547
SG: Amm2, No. 38
Density of states at the Fermi level, states/eV per cell: 3.081
Crystal system: orthorhombic
Total magnetic moment, μB/f.u.: 0.000


ScFeAsBr2 after structural relaxation, computed with PBE.

Geometry as POSCAR:
```
ScFeAsBr2
1.0
4.832 0.000 0.000
0.000 4.832 0.000
0.000 0.000 4.663
Br Fe Sc As
2 1 1 1
Direct
0.000 0.500 0.000 Br
0.500 0.000 0.000 Br
0.000 0.000 0.000 Fe
0.500 0.500 0.500 Sc
0.000 0.000 0.500 As
```

Results
Polymorph energy (0 for the lowest one), eV/atom: 0.059
Formation energy from raw total energies, eV/atom: 0.09
Final energy, eV/atom: -4.4670
SG: P4/mmm, No. 123
Density of states at the Fermi level, states/eV per cell: 6.293
Crystal system: tetragonal
Total magnetic moment, μB/f.u.: 0.000


SrPm2In after structural relaxation, computed with PBE.

Geometry as POSCAR:
```
SrPm2In
1.0
-0.102 2.667 -2.649
-3.757 0.006 0.151
0.298 7.129 7.165
Sr Pm In
1 2 1
Direct
0.500 0.500 0.500 Sr
0.000 0.000 0.802 Pm
0.000 0.000 0.198 Pm
0.500 0.500 0.000 In
```

Results
Polymorph energy (0 for the lowest one), eV/atom: 0.013
Final energy, eV/atom: -3.6135
SG: P4/mmm, No. 123
Density of states at the Fermi level, states/eV per cell: 5.242
Crystal system: tetragonal
Total magnetic moment, μB/f.u.: 0.000


Th2AgAs4 after structural relaxation, computed with PBE.

Geometry as POSCAR:
```
Th2AgAs4
1.0
-4.054 0.243 -0.155
-0.165 -3.748 -1.563
-0.591 -3.884 9.376
As Th Ag
4 2 1
Direct
0.000 0.000 0.500 As
0.500 0.500 0.500 As
0.000 0.500 0.826 As
0.500 0.000 0.174 As
0.000 0.500 0.268 Th
0.500 0.000 0.732 Th
0.500 0.500 0.000 Ag
```

Results
Final energy, eV/atom: -6.0769
SG: P-4m2, No. 115
Density of states at the Fermi level, states/eV per cell: 1.106
Crystal system: tetragonal
Total magnetic moment, μB/f.u.: 0.000


NaCa2CdAu after structural relaxation, computed with PBE.

Geometry as POSCAR:
```
NaCa2CdAu
1.0
5.723 0.000 0.000
0.000 5.723 0.000
0.000 0.000 5.365
Na Ca Cd Au
1 2 1 1
Direct
0.500 0.500 0.500 Na
0.500 0.000 0.000 Ca
0.000 0.500 0.000 Ca
0.000 0.000 0.500 Cd
0.000 0.000 0.000 Au
```

Results
Final energy, eV/atom: -2.1407
SG: P4/mmm, No. 123
Density of states at the Fermi level, states/eV per cell: 4.270
Crystal system: tetragonal
Total magnetic moment, μB/f.u.: 0.000


PmThPa2Ir4 after structural relaxation, computed with PBE.

Geometry as POSCAR:
```
PmThPa2Ir4
1.0
-0.879 -1.495 -5.466
-5.091 -2.460 0.957
0.418 6.925 1.315
Ir Pa Pm Th
4 2 1 1
Direct
0.408 0.000 0.000 Ir
0.000 0.408 0.000 Ir
0.663 0.663 0.492 Ir
0.171 0.171 0.508 Ir
0.670 0.170 0.500 Pa
0.170 0.670 0.500 Pa
0.494 0.494 0.000 Pm
0.923 0.923 0.000 Th
```

Results
Final energy, eV/atom: -9.1122
SG: Fmm2, No. 42
Density of states at the Fermi level, states/eV per cell: 4.429
Crystal system: orthorhombic
Total magnetic moment, μB/f.u.: 0.000


Tm4HgOs after structural relaxation, computed with PBE.

Geometry as POSCAR:
```
Tm4HgOs
1.0
6.021 0.335 -1.107
-2.040 6.835 -2.581
0.220 -0.204 7.579
Tm Hg Os
8 2 2
Direct
0.097 0.357 0.203 Tm
0.456 0.724 0.067 Tm
0.597 0.203 0.357 Tm
0.403 0.797 0.643 Tm
0.544 0.276 0.933 Tm
0.903 0.643 0.797 Tm
0.044 0.933 0.276 Tm
0.956 0.067 0.724 Tm
0.750 0.627 0.373 Hg
0.250 0.373 0.627 Hg
0.250 0.000 0.000 Os
0.750 0.000 0.000 Os
```

Results
Polymorph energy (0 for the lowest one), eV/atom: 0.000
Final energy, eV/atom: -5.2793
SG: C2/c, No. 15
Density of states at the Fermi level, states/eV per cell: 10.786
Crystal system: monoclinic
Total magnetic moment, μB/f.u.: 0.000


Cd2HgSbIr after structural relaxation, computed with PBE.

Geometry as POSCAR:
```
Cd2HgSbIr
1.0
-1.287 -3.126 -4.162
-3.149 -2.947 3.187
-3.797 2.940 -1.034
Hg Ir Cd Sb
1 1 2 1
Direct
0.500 0.500 0.500 Hg
0.000 0.000 0.000 Ir
0.500 0.000 0.000 Cd
0.000 0.500 0.000 Cd
0.000 0.000 0.500 Sb
```

Results
Formation energy from raw total energies, eV/atom: 0.06
Final energy, eV/atom: -2.9636
SG: P4/mmm, No. 123
Density of states at the Fermi level, states/eV per cell: 1.307
Crystal system: tetragonal
Total magnetic moment, μB/f.u.: 0.000


Ca2ErTl after structural relaxation, computed with PBE.

Geometry as POSCAR:
```
Ca2ErTl
1.0
-3.073 -0.074 -2.088
-2.310 -2.904 0.195
-7.495 4.091 7.577
Er Tl Ca
1 1 2
Direct
0.501 0.501 0.498 Er
0.666 0.666 0.001 Tl
0.257 0.257 0.229 Ca
0.076 0.076 0.773 Ca
```

Results
Polymorph energy (0 for the lowest one), eV/atom: 0.096
Final energy, eV/atom: -2.7950
SG: R3m, No. 160
Density of states at the Fermi level, states/eV per cell: 4.912
Crystal system: trigonal
Total magnetic moment, μB/f.u.: 0.716


BeCu2Os after structural relaxation, computed with PBE.

Geometry as POSCAR:
```
BeCu2Os
1.0
2.568 -0.002 0.000
-1.004 2.364 0.000
0.000 0.000 7.979
Cu Os Be
2 1 1
Direct
0.000 0.000 0.981 Cu
0.500 0.500 0.241 Cu
0.000 0.000 0.522 Os
0.500 0.500 0.756 Be
```

Results
Final energy, eV/atom: -5.6297
SG: Cmm2, No. 35
Density of states at the Fermi level, states/eV per cell: 1.264
Crystal system: orthorhombic
Total magnetic moment, μB/f.u.: 0.000


Ac4RuSeI2 after structural relaxation, computed with PBE.

Geometry as POSCAR:
```
Ac4RuSeI2
1.0
-0.659 -2.308 3.617
-4.263 -5.491 -4.281
8.312 -2.768 -0.251
Se Ac I Ru
1 4 2 1
Direct
0.000 0.000 0.000 Se
0.000 0.703 0.186 Ac
0.500 0.257 0.195 Ac
0.500 0.743 0.805 Ac
0.000 0.297 0.814 Ac
0.000 0.500 0.500 I
0.500 0.000 0.500 I
0.500 0.500 0.000 Ru
```

Results
Formation energy from raw total energies, eV/atom: -1.05
Final energy, eV/atom: -5.0914
SG: P2/m, No. 10
Density of states at the Fermi level, states/eV per cell: 5.394
Crystal system: monoclinic
Total magnetic moment, μB/f.u.: 0.000


KLa2Mn after structural relaxation, computed with PBE.

Geometry as POSCAR:
```
KLa2Mn
1.0
4.107 -0.019 0.100
2.065 3.551 0.100
1.793 1.026 10.746
K La Mn
1 2 1
Direct
0.750 0.750 0.750 K
0.535 0.535 0.397 La
0.965 0.965 0.103 La
0.250 0.250 0.250 Mn
```

Results
Polymorph energy (0 for the lowest one), eV/atom: 0.088
Final energy, eV/atom: -4.6751
SG: R-3m, No. 166
Density of states at the Fermi level, states/eV per cell: 5.224
Crystal system: trigonal
Total magnetic moment, μB/f.u.: 1.306


InBr3N after structural relaxation, computed with PBE.

Geometry as POSCAR:
```
InBr3N
1.0
-1.563 4.407 1.349
-4.472 -1.795 0.682
1.115 -1.021 4.626
Br In N
3 1 1
Direct
0.000 0.500 0.000 Br
0.000 0.000 0.500 Br
0.500 0.000 0.000 Br
0.500 0.500 0.500 In
0.000 0.000 0.000 N
```

Results
Polymorph energy (0 for the lowest one), eV/atom: 0.004
Formation energy from raw total energies, eV/atom: 0.59
Final energy, eV/atom: -2.6291
SG: Pm-3m, No. 221
Density of states at the Fermi level, states/eV per cell: 1.735
Crystal system: cubic
Total magnetic moment, μB/f.u.: 0.000


V2CrCu2 after structural relaxation, computed with PBE.

Geometry as POSCAR:
```
V2CrCu2
1.0
3.282 0.000 0.000
0.000 3.282 0.000
1.641 1.641 6.415
Cu Cr V
2 1 2
Direct
0.250 0.750 0.500 Cu
0.750 0.250 0.500 Cu
0.000 0.000 0.000 Cr
0.412 0.412 0.176 V
0.588 0.588 0.824 V
```

Results
Polymorph energy (0 for the lowest one), eV/atom: 0.112
Final energy, eV/atom: -6.6726
SG: I4/mmm, No. 139
Density of states at the Fermi level, states/eV per cell: 4.400
Crystal system: tetragonal
Total magnetic moment, μB/f.u.: 0.404


Cr2FeHg after structural relaxation, computed with PBE.

Geometry as POSCAR:
```
Cr2FeHg
1.0
8.851 -0.055 -0.032
8.432 2.691 -0.032
8.432 1.286 2.364
Fe Cr Hg
1 2 1
Direct
0.750 0.750 0.750 Fe
0.489 0.489 0.489 Cr
0.011 0.011 0.011 Cr
0.250 0.250 0.250 Hg
```

Results
Final energy, eV/atom: -6.3940
SG: R-3m, No. 166
Density of states at the Fermi level, states/eV per cell: 4.194
Crystal system: trigonal
Total magnetic moment, μB/f.u.: 1.695


PrBeGaRh3 after structural relaxation, computed with PBE.

Geometry as POSCAR:
```
PrBeGaRh3
1.0
5.891 0.000 0.000
0.000 5.889 0.000
0.000 -2.945 5.945
Be Pr Ga Rh
2 2 2 6
Direct
0.750 0.026 0.052 Be
0.250 0.974 0.948 Be
0.250 0.724 0.447 Pr
0.750 0.276 0.553 Pr
0.750 0.630 0.260 Ga
0.250 0.370 0.740 Ga
0.000 0.736 0.000 Rh
0.000 0.264 0.000 Rh
0.250 0.167 0.333 Rh
0.500 0.736 0.000 Rh
0.750 0.833 0.667 Rh
0.500 0.264 0.000 Rh
```

Results
Final energy, eV/atom: -6.0899
SG: Cmcm, No. 63
Density of states at the Fermi level, states/eV per cell: 11.718
Crystal system: orthorhombic
Total magnetic moment, μB/f.u.: 0.000


CaLa5Nd2Sm after structural relaxation, computed with PBE.

Geometry as POSCAR:
```
CaLa5Nd2Sm
1.0
9.406 0.000 0.000
0.000 9.406 0.000
-4.703 -4.703 7.616
La Nd Sm Ca
10 4 2 2
Direct
0.078 0.578 0.739 La
0.500 0.500 0.000 La
0.422 0.339 0.261 La
0.161 0.078 0.739 La
0.661 0.161 0.739 La
0.839 0.922 0.261 La
0.578 0.661 0.739 La
0.922 0.422 0.261 La
0.339 0.839 0.261 La
0.000 0.000 0.000 La
0.613 0.113 0.000 Nd
0.887 0.613 0.000 Nd
0.387 0.887 0.000 Nd
0.113 0.387 0.000 Nd
0.750 0.750 0.500 Sm
0.250 0.250 0.500 Sm
0.750 0.250 0.500 Ca
0.250 0.750 0.500 Ca
```

Results
Final energy, eV/atom: -4.2886
SG: I4/mcm, No. 140
Density of states at the Fermi level, states/eV per cell: 29.325
Crystal system: tetragonal
Total magnetic moment, μB/f.u.: 0.000


Dy3Hg2Au after structural relaxation, computed with PBE.

Geometry as POSCAR:
```
Dy3Hg2Au
1.0
-4.363 -2.818 0.114
3.808 -1.240 -3.309
2.587 -3.826 4.411
Hg Dy Au
2 3 1
Direct
0.667 0.333 0.347 Hg
0.333 0.667 0.653 Hg
0.667 0.333 0.847 Dy
0.000 0.000 0.500 Dy
0.333 0.667 0.153 Dy
0.000 0.000 0.000 Au
```

Results
Polymorph energy (0 for the lowest one), eV/atom: 0.008
Final energy, eV/atom: -3.5512
SG: P-3m1, No. 164
Density of states at the Fermi level, states/eV per cell: 3.704
Crystal system: trigonal
Total magnetic moment, μB/f.u.: 0.000


RbTl2Ge after structural relaxation, computed with PBE.

Geometry as POSCAR:
```
RbTl2Ge
1.0
8.482 0.000 0.000
0.000 9.451 -1.225
0.000 -5.081 7.751
Tl Rb Ge
8 4 4
Direct
0.815 0.077 0.125 Tl
0.185 0.923 0.875 Tl
0.315 0.423 0.875 Tl
0.086 0.796 0.138 Tl
0.414 0.296 0.138 Tl
0.914 0.204 0.862 Tl
0.685 0.577 0.125 Tl
0.586 0.704 0.862 Tl
0.467 0.068 0.354 Rb
0.533 0.932 0.646 Rb
0.033 0.568 0.354 Rb
0.967 0.432 0.646 Rb
0.860 0.979 0.435 Ge
0.640 0.479 0.435 Ge
0.360 0.521 0.565 Ge
0.140 0.021 0.565 Ge
```

Results
Polymorph energy (0 for the lowest one), eV/atom: 0.033
Final energy, eV/atom: -2.5447
SG: P2_1/c, No. 14
Density of states at the Fermi level, states/eV per cell: 5.803
Crystal system: monoclinic
Total magnetic moment, μB/f.u.: 0.000


SbTeN2Cl after structural relaxation, computed with PBE.

Geometry as POSCAR:
```
SbTeN2Cl
1.0
-1.339 -1.851 3.333
2.733 -2.929 -0.529
4.239 3.314 3.543
Cl N Sb Te
1 2 1 1
Direct
0.500 0.500 0.500 Cl
0.500 0.000 0.000 N
0.000 0.500 0.000 N
0.000 0.000 0.000 Sb
0.000 0.000 0.500 Te
```

Results
Polymorph energy (0 for the lowest one), eV/atom: 0.000
Formation energy from raw total energies, eV/atom: 1.20
Final energy, eV/atom: -3.9525
SG: P4/mmm, No. 123
Density of states at the Fermi level, states/eV per cell: 3.106
Crystal system: tetragonal
Total magnetic moment, μB/f.u.: 0.871


ScBeSn2 after structural relaxation, computed with PBE.

Geometry as POSCAR:
```
ScBeSn2
1.0
7.618 0.000 0.000
0.000 7.618 0.000
3.809 3.809 2.903
Sn Be Sc
4 2 2
Direct
0.875 0.813 0.750 Sn
0.187 0.625 0.250 Sn
0.563 0.125 0.250 Sn
0.375 0.437 0.750 Sn
0.500 0.500 0.000 Be
0.250 0.750 0.500 Be
0.750 0.250 0.500 Sc
0.000 0.000 0.000 Sc
```

Results
Final energy, eV/atom: -4.5638
SG: I-42d, No. 122
Density of states at the Fermi level, states/eV per cell: 5.944
Crystal system: tetragonal
Total magnetic moment, μB/f.u.: 0.000


MgIr2Au after structural relaxation, computed with PBE.

Geometry as POSCAR:
```
MgIr2Au
1.0
4.978 -0.011 0.000
1.916 4.594 0.000
-3.447 -2.292 2.765
Au Ir Mg
1 2 1
Direct
0.750 0.250 0.500 Au
0.500 0.500 0.000 Ir
0.000 0.000 0.000 Ir
0.250 0.750 0.500 Mg
```

Results
Final energy, eV/atom: -5.5972
SG: I4/mmm, No. 139
Density of states at the Fermi level, states/eV per cell: 6.267
Crystal system: tetragonal
Total magnetic moment, μB/f.u.: 0.000


Y2InAu after structural relaxation, computed with PBE.

Geometry as POSCAR:
```
Y2InAu
1.0
4.687 0.000 0.000
0.000 3.839 -0.014
0.000 1.941 5.765
Y In Au
2 1 1
Direct
0.500 0.270 0.334 Y
0.000 0.974 0.927 Y
0.500 0.546 0.783 In
0.000 0.709 0.457 Au
```

Results
Final energy, eV/atom: -5.3825
SG: Amm2, No. 38
Density of states at the Fermi level, states/eV per cell: 3.426
Crystal system: orthorhombic
Total magnetic moment, μB/f.u.: 0.000


CeSmHoLu after structural relaxation, computed with PBE.

Geometry as POSCAR:
```
CeSmHoLu
1.0
-0.025 -5.610 -0.538
3.863 -2.539 -3.225
4.077 -3.078 2.381
Lu Ho Ce Sm
1 1 1 1
Direct
0.500 0.500 0.500 Lu
0.000 0.000 0.000 Ho
0.750 0.750 0.750 Ce
0.250 0.250 0.250 Sm
```

Results
Final energy, eV/atom: -4.7918
SG: F-43m, No. 216
Density of states at the Fermi level, states/eV per cell: 8.929
Crystal system: cubic
Total magnetic moment, μB/f.u.: 0.654


KAlIn2 after structural relaxation, computed with PBE.

Geometry as POSCAR:
```
KAlIn2
1.0
-5.922 1.463 -0.955
-3.871 -3.524 3.274
4.781 3.819 0.828
In Al K
2 1 1
Direct
0.022 0.022 0.000 In
0.768 0.268 0.500 In
0.220 0.720 0.500 Al
0.489 0.489 0.000 K
```

Results
Final energy, eV/atom: -2.3869
SG: Imm2, No. 44
Density of states at the Fermi level, states/eV per cell: 2.194
Crystal system: orthorhombic
Total magnetic moment, μB/f.u.: 0.000